DFT (PBE) results for NdB3C3 after structural relaxation.

The calculation puts the formation energy at 0.78 eV per atom. The mass density is 5.252 g cm⁻³.

Unit cell a=7.6729 b=7.6729 c=2.6380 alpha=90.00 beta=90.00 gamma=120.00
Last column: nearest neighbours and their distance in Å.
Space group P6_3/m (No. 176)
Symmetry-distinct sites (fractional):
Nd 0.3333 0.6667 0.2500 [2 per cell]  9 C 2.37-2.50, 2 Nd 2.64
B 0.0106 0.7745 0.7500 [6 per cell]  1 C 1.67
C 0.0185 0.5608 0.7500 [6 per cell]  2 C 1.56, 1 B 1.67